Entry from Alexandria: a geometry-optimized MgTa2Fe structure (PBE).

Cell and atoms, written as CIF:
```
data_MgTa2Fe
_space_group_name_H-M_alt 'P 1'
_space_group_IT_number 1
_cell_length_a 5.098
_cell_length_b 5.098
_cell_length_c 2.776
_cell_angle_alpha 90.00
_cell_angle_beta 90.00
_cell_angle_gamma 112.60
loop_
_space_group_symop_operation_xyz
'x,y,z'
loop_
_atom_site_label
_atom_site_type_symbol
_atom_site_fract_x
_atom_site_fract_y
_atom_site_fract_z
Mg1 Mg 0.000 0.500 0.500
Ta1 Ta 0.000 0.000 0.000
Ta2 Ta 0.500 0.500 0.000
Fe1 Fe 0.500 0.000 0.500
```

Computed properties:
For the total DFT energy (no corrections), the calculation gives -8.093 eV/atom. The space-group type is Cmmm, No. 65. The magnetic moment comes out at 1.85 μB per cell.

***

Entry from Alexandria: a geometry-optimized MgTa2Fe structure (PBE).

Cell and atoms, written as CIF:
```
data_MgTa2Fe
_space_group_name_H-M_alt 'P 1'
_space_group_IT_number 1
_cell_length_a 2.970
_cell_length_b 3.734
_cell_length_c 5.875
_cell_angle_alpha 90.00
_cell_angle_beta 90.00
_cell_angle_gamma 90.00
loop_
_space_group_symop_operation_xyz
'x,y,z'
loop_
_atom_site_label
_atom_site_type_symbol
_atom_site_fract_x
_atom_site_fract_y
_atom_site_fract_z
Mg1 Mg 0.500 0.500 0.750
Ta1 Ta 0.000 0.000 0.027
Ta2 Ta 0.000 0.000 0.473
Fe1 Fe 0.500 0.500 0.250
```

Computed properties:
For the total DFT energy (no corrections), the calculation gives -8.145 eV/atom. The space-group type is Pmmm, No. 47. The magnetic moment comes out at 0.02 μB per cell.

***

Entry from Alexandria: a geometry-optimized MgTa2Fe structure (PBE).

Cell and atoms, written as CIF:
```
data_MgTa2Fe
_space_group_name_H-M_alt 'P 1'
_space_group_IT_number 1
_cell_length_a 2.815
_cell_length_b 2.815
_cell_length_c 8.966
_cell_angle_alpha 90.00
_cell_angle_beta 90.00
_cell_angle_gamma 107.12
loop_
_space_group_symop_operation_xyz
'x,y,z'
loop_
_atom_site_label
_atom_site_type_symbol
_atom_site_fract_x
_atom_site_fract_y
_atom_site_fract_z
Ta1 Ta 0.000 0.000 0.011
Ta2 Ta 0.500 0.500 0.273
Fe1 Fe 0.000 0.000 0.490
Mg1 Mg 0.500 0.500 0.726
```

Computed properties:
For the total DFT energy (no corrections), the calculation gives -8.271 eV/atom. The space-group type is Cmm2, No. 35. The magnetic moment comes out at 1.90 μB per cell.

***

Entry from Alexandria: a geometry-optimized MgTaFe2 structure (PBE).

Cell and atoms, written as CIF:
```
data_MgTaFe2
_space_group_name_H-M_alt 'P 1'
_space_group_IT_number 1
_cell_length_a 2.752
_cell_length_b 2.752
_cell_length_c 8.358
_cell_angle_alpha 90.00
_cell_angle_beta 90.00
_cell_angle_gamma 104.70
loop_
_space_group_symop_operation_xyz
'x,y,z'
loop_
_atom_site_label
_atom_site_type_symbol
_atom_site_fract_x
_atom_site_fract_y
_atom_site_fract_z
Ta1 Ta 0.500 0.500 0.781
Fe1 Fe 0.000 0.000 0.020
Fe2 Fe 0.500 0.500 0.222
Mg1 Mg 0.000 0.000 0.477
```

Computed properties:
For the total DFT energy (no corrections), the calculation gives -7.374 eV/atom. The space-group type is Cmm2, No. 35. The magnetic moment comes out at 4.54 μB per cell.